HoFe2GeP | PBE | relaxed

The final energy comes out at -0.51484 Ry/atom.

The structure belongs to space group I4mm (No. 107); the cell edges are 3.9206, 3.9206 and 9.6054 Å and the angles 90.00°, 90.00° and 90.00°. The distinct sites, in fractional coordinates, are Ho at (0.0000, 0.0000, 0.0000), Fe at (0.0000, 0.5000, 0.2401), Ge at (0.0000, 0.0000, 0.3724) and P at (0.0000, 0.0000, 0.6374).

***

RbScFeSe3 | PBE | relaxed

The final energy comes out at -0.40374 Ry/atom.

The structure belongs to space group P2_1/m (No. 11); the cell edges are 9.2378, 3.9288 and 9.8202 Å and the angles 90.00°, 112.36° and 90.00°. The distinct sites, in fractional coordinates, are Rb at (0.2101, 0.2500, 0.2363), Sc at (0.3368, 0.7500, 0.8578), Fe at (0.0730, 0.2500, 0.5894), Se at (0.1255, 0.2500, 0.8495), Se at (0.2144, 0.7500, 0.5443) and Se at (0.4661, 0.7500, 0.1515).

***

KMgNbTe3 | PBE | relaxed

The final energy comes out at -0.31531 Ry/atom.

The structure belongs to space group P2_1/m (No. 11); the cell edges are 8.7476, 4.2356 and 11.1515 Å and the angles 90.00°, 111.45° and 90.00°. The distinct sites, in fractional coordinates, are K at (0.2317, 0.2500, 0.2153), Mg at (0.4148, 0.2500, 0.8787), Nb at (0.1909, 0.7500, 0.6485), Te at (0.0451, 0.7500, 0.3746), Te at (0.2494, 0.7500, 0.9398) and Te at (0.4154, 0.2500, 0.6336).

***

Zr2AlIr3 | PBE | relaxed

The final energy comes out at -0.64620 Ry/atom.

The structure belongs to space group P6_3/mmc (No. 194); the cell edges are 5.4252, 5.4252 and 7.9253 Å and the angles 90.00°, 90.00° and 120.00°. The distinct sites, in fractional coordinates, are Zr at (0.3333, 0.6667, 0.0590), Al at (0.0000, 0.0000, 0.0000) and Ir at (0.1698, 0.3396, 0.7500).

***

TbPr2Pb7 | PBE | relaxed

The final energy comes out at -0.32540 Ry/atom.

The structure belongs to space group Cmmm (No. 65); the cell edges are 4.7543, 26.2069 and 4.7900 Å and the angles 90.00°, 90.00° and 90.00°. The distinct sites, in fractional coordinates, are Tb at (0.0000, 0.0000, 0.0000), Pr at (0.0000, 0.1873, 0.0000), Pb at (0.0000, 0.0948, 0.5000), Pb at (0.0000, 0.2931, 0.5000), Pb at (0.0000, 0.4060, 0.0000) and Pb at (0.0000, 0.5000, 0.5000).

***

Nd2DySi4Au4 | PBE | relaxed

The final energy comes out at -0.38090 Ry/atom.

The structure belongs to space group Immm (No. 71); the cell edges are 4.2086, 4.2899 and 25.1213 Å and the angles 90.00°, 90.00° and 90.00°. The distinct sites, in fractional coordinates, are Nd at (0.0000, 0.0000, 0.1473), Dy at (0.0000, 0.5000, 0.0000), Si at (0.0000, 0.0000, 0.3096), Si at (0.0000, 0.5000, 0.4534), Au at (0.0000, 0.0000, 0.4074) and Au at (0.0000, 0.5000, 0.2512).

***

Lu4SbTeC2 | PBE | relaxed

The final energy comes out at -0.46025 Ry/atom.

The structure belongs to space group P-6m2 (No. 187); the cell edges are 3.6579, 3.6579 and 14.2300 Å and the angles 90.00°, 90.00° and 120.00°. The distinct sites, in fractional coordinates, are Lu at (0.0000, 0.0000, 0.1567), Lu at (0.6667, 0.3333, 0.3346), Sb at (0.0000, 0.0000, 0.5000), Te at (0.6667, 0.3333, 0.0000) and C at (0.3333, 0.6667, 0.2450).

***

InAgBr3 | PBE | relaxed

The final energy comes out at -0.19122 Ry/atom.

The structure belongs to space group Cmcm (No. 63); the cell edges are 3.9043, 13.3979 and 10.9035 Å and the angles 90.00°, 90.00° and 90.00°. The distinct sites, in fractional coordinates, are In at (0.0000, 0.2357, 0.2500), Ag at (0.0000, 0.0000, 0.0000), Br at (0.0000, 0.1023, 0.7500) and Br at (0.0000, 0.3640, 0.5758).

***

Hf4NiSnN2 | PBE | relaxed

The final energy comes out at -0.68051 Ry/atom.

The structure belongs to space group P-6m2 (No. 187); the cell edges are 3.2213, 3.2213 and 13.8030 Å and the angles 90.00°, 90.00° and 120.00°. The distinct sites, in fractional coordinates, are Hf at (0.0000, 0.0000, 0.1396), Hf at (0.3333, 0.6667, 0.3265), Ni at (0.3333, 0.6667, 0.0000), Sn at (0.0000, 0.0000, 0.5000) and N at (0.6667, 0.3333, 0.2331).

***

InIrAuO3 | PBE | relaxed

The final energy comes out at -0.39750 Ry/atom.

The structure belongs to space group Pnma (No. 62); the cell edges are 9.5833, 3.2225 and 10.5698 Å and the angles 90.00°, 90.00° and 90.00°. The distinct sites, in fractional coordinates, are In at (0.1905, 0.2500, 0.1590), Ir at (0.0103, 0.2500, 0.3778), Au at (0.0809, 0.2500, 0.9253), O at (0.1055, 0.2500, 0.5529), O at (0.1226, 0.7500, 0.7675) and O at (0.1250, 0.7500, 0.3200).

***

PmFe2Si2 | PBE | relaxed

The final energy comes out at -0.52071 Ry/atom.

The structure belongs to space group I4/mmm (No. 139); the cell edges are 3.9977, 3.9977 and 9.6702 Å and the angles 90.00°, 90.00° and 90.00°. The distinct sites, in fractional coordinates, are Pm at (0.0000, 0.0000, 0.0000), Fe at (0.0000, 0.5000, 0.2500) and Si at (0.0000, 0.0000, 0.3619).

***

Ga2FeNiPd4 | PBE | relaxed

The final energy comes out at -0.40036 Ry/atom.

The structure belongs to space group P4/mmm (No. 123); the cell edges are 4.3118, 4.3118 and 6.0876 Å and the angles 90.00°, 90.00° and 90.00°. The distinct sites, in fractional coordinates, are Ga at (0.0000, 0.0000, 0.0000), Ga at (0.5000, 0.5000, 0.5000), Fe at (0.0000, 0.0000, 0.5000), Ni at (0.5000, 0.5000, 0.0000) and Pd at (0.0000, 0.5000, 0.2501).

***

Nd2Ni17 | PBE | relaxed

The value obtained for the formation energy is -0.17 eV per atom.

The structure belongs to space group P6_3/mmc (No. 194); the cell edges are 8.3268, 8.3268 and 8.0514 Å and the angles 90.00°, 90.00° and 120.00°. The distinct sites, in fractional coordinates, are Nd at (0.0000, 0.0000, 0.2500), Nd at (0.3333, 0.6667, 0.2500), Ni at (0.0000, 0.5000, 0.0000), Ni at (0.0461, 0.3746, 0.7500), Ni at (0.1663, 0.3327, 0.0192) and Ni at (0.3333, 0.6667, 0.6035).

***

Ta2BeNb | PBE | relaxed

The final energy comes out at -0.67357 Ry/atom.

The structure belongs to space group F-43m (No. 216); the cell edges are 6.4032, 6.4032 and 6.4032 Å and the angles 90.00°, 90.00° and 90.00°. The distinct sites, in fractional coordinates, are Ta at (0.0000, 0.0000, 0.0000), Ta at (0.2500, 0.2500, 0.2500), Be at (0.0000, 0.0000, 0.5000) and Nb at (0.2500, 0.2500, 0.7500).

***

Te2MoSe2I | PBE | relaxed

The final energy comes out at -0.33343 Ry/atom.

The structure belongs to space group P-1 (No. 2); the cell edges are 6.6594, 8.5178 and 8.6136 Å and the angles 117.74°, 104.22° and 98.17°. The distinct sites, in fractional coordinates, are Te at (0.0489, 0.3987, 0.2092), Te at (0.1186, 0.8195, 0.1905), Mo at (0.2254, 0.5003, 0.9995), Se at (0.3908, 0.3782, 0.7238), Se at (0.4795, 0.3023, 0.0512) and I at (0.2653, 0.8949, 0.6049).

***

GdGeTe | PBE | relaxed

The final energy comes out at -0.32516 Ry/atom.

The structure belongs to space group F-43m (No. 216); the cell edges are 7.1031, 7.1031 and 7.1031 Å and the angles 90.00°, 90.00° and 90.00°. The distinct sites, in fractional coordinates, are Gd at (0.0000, 0.0000, 0.0000), Ge at (0.0000, 0.0000, 0.5000) and Te at (0.2500, 0.2500, 0.2500).

***

BaGdZnTe3 | PBE | relaxed

The final energy comes out at -0.29462 Ry/atom.

The structure belongs to space group Cmcm (No. 63); the cell edges are 4.7161, 14.7561 and 11.5532 Å and the angles 90.00°, 90.00° and 90.00°. The distinct sites, in fractional coordinates, are Ba at (0.0000, 0.2428, 0.2500), Gd at (0.0000, 0.0000, 0.0000), Zn at (0.0000, 0.4815, 0.7500), Te at (0.0000, 0.0748, 0.7500) and Te at (0.0000, 0.3642, 0.5641).

***

Y2AlGaPt4 | PBE | relaxed

The final energy comes out at -0.48565 Ry/atom.

The structure belongs to space group P-3m1 (No. 164); the cell edges are 4.3662, 4.3662 and 9.2112 Å and the angles 90.00°, 90.00° and 120.00°. The distinct sites, in fractional coordinates, are Y at (0.3333, 0.6667, 0.2510), Al at (0.0000, 0.0000, 0.0000), Ga at (0.0000, 0.0000, 0.5000), Pt at (0.3333, 0.6667, 0.5850) and Pt at (0.3333, 0.6667, 0.9173).

***

ZrTlB4 | PBE | relaxed

The final energy comes out at -0.46859 Ry/atom.

The structure belongs to space group P6/mmm (No. 191); the cell edges are 3.1728, 3.1728 and 8.6389 Å and the angles 90.00°, 90.00° and 120.00°. The distinct sites, in fractional coordinates, are Zr at (0.0000, 0.0000, 0.0000), Tl at (0.0000, 0.0000, 0.5000) and B at (0.3333, 0.6667, 0.1989).

***

ErCdB | PBE | relaxed

The final energy comes out at -0.23289 Ry/atom.

The structure belongs to space group F-43m (No. 216); the cell edges are 6.4520, 6.4520 and 6.4520 Å and the angles 90.00°, 90.00° and 90.00°. The distinct sites, in fractional coordinates, are Er at (0.0000, 0.0000, 0.0000), Cd at (0.2500, 0.2500, 0.2500) and B at (0.2500, 0.2500, 0.7500).

***

HoSc2Si4Ag4 | PBE | relaxed

The final energy comes out at -0.36845 Ry/atom.

The structure belongs to space group Immm (No. 71); the cell edges are 4.0922, 7.0022 and 13.7768 Å and the angles 90.00°, 90.00° and 90.00°. The distinct sites, in fractional coordinates, are Ho at (0.0000, 0.0000, 0.0000), Sc at (0.0000, 0.5000, 0.1214), Si at (0.0000, 0.0000, 0.2205), Si at (0.0000, 0.1718, 0.5000) and Ag at (0.0000, 0.2998, 0.3306).